# Er2Pd3Au

A relaxed Er2Pd3Au crystal (PBE, Alexandria).

Cell: 9.8369 9.8369 8.7969 Å, 123.99 123.99 90.00°
Fractional positions:
Au1 0.8843 0.3843 0.7686
Au2 0.6157 0.1157 0.2314
Au3 0.6343 0.6343 0.2686
Au4 0.3657 0.3657 0.7314
Pd1 0.7576 0.2424 0.0000
Pd2 0.0076 0.5076 0.5000
Pd3 0.1250 0.3750 0.2500
Pd4 0.2424 0.7576 0.0000
Pd5 0.1250 0.8750 0.7500
Pd6 0.4924 0.5076 0.5000
Pd7 0.6250 0.8750 0.7500
Pd8 0.7576 0.7576 0.0000
Pd9 0.2424 0.2424 0.0000
Pd10 0.0076 0.9924 0.5000
Pd11 0.1250 0.8750 0.2500
Pd12 0.4924 0.9924 0.5000
Er1 0.3962 0.7030 0.7925
Er2 0.8538 0.0470 0.7075
Er3 0.9530 0.1462 0.2925
Er4 0.9106 0.6038 0.2075
Er5 0.2970 0.6038 0.2075
Er6 0.3962 0.0894 0.7925
Er7 0.8538 0.6606 0.7075
Er8 0.3394 0.1462 0.2925

The relative energy among the computed polymorphs is 0.00 kcal/mol of atoms. As for the space group: I4_1/amd.


# ErPd5Au8

A relaxed ErPd5Au8 crystal (PBE, Alexandria).

Cell: 6.9843 6.9843 6.9843 Å, 110.94 106.57 110.94°
Fractional positions:
Pd1 0.8721 0.9160 0.2045
Pd2 0.7955 0.6676 0.7115
Pd3 0.5000 0.0000 0.5000
Pd4 0.2885 0.0840 0.9561
Pd5 0.0439 0.3324 0.1279
Au1 0.3518 0.2728 0.4064
Au2 0.7541 0.2687 0.3538
Au3 0.9210 0.0546 0.6482
Au4 0.5147 0.5998 0.2459
Au5 0.0851 0.7313 0.4853
Au6 0.6462 0.4002 0.9149
Au7 0.5936 0.9454 0.8664
Au8 0.1336 0.7272 0.0790
Er1 0.2500 0.5000 0.7500

The value obtained for the raw total energy is -58.7 eV per cell. As for the space group: I-4.


# Er7Pd2Au2

A relaxed Er7Pd2Au2 crystal (PBE, Alexandria).

Cell: 6.6336 7.0769 6.6336 Å, 90.00 107.71 90.00°
Fractional positions:
Er1 0.4997 0.2635 0.0002
Er2 0.0000 0.0000 0.0000
Er3 0.9998 0.2635 0.5003
Er4 0.0002 0.7365 0.4997
Er5 0.4998 0.2576 0.5002
Er6 0.5002 0.7424 0.4998
Er7 0.5003 0.7365 0.9998
Au1 0.8043 0.5000 0.8043
Au2 0.1957 0.5000 0.1957
Pd1 0.2873 0.0000 0.7127
Pd2 0.7127 0.0000 0.2873

The relative energy among the computed polymorphs is 4.57 kcal/mol of atoms. As for the space group: Cmmm.


# ErPd6Au2

A relaxed ErPd6Au2 crystal (PBE, Alexandria).

Cell: 4.5224 4.5224 9.6589 Å, 76.46 76.46 60.00°
Fractional positions:
Pd1 0.2980 0.2980 0.1060
Pd2 0.5962 0.5962 0.2113
Pd3 0.8010 0.8010 0.5971
Pd4 0.4038 0.4038 0.7887
Pd5 0.1990 0.1990 0.4029
Pd6 0.7020 0.7020 0.8940
Au1 0.8979 0.8979 0.3064
Au2 0.1021 0.1021 0.6936
Er1 0.0000 0.0000 0.0000

The relative energy among the computed polymorphs is 1.60 kcal/mol of atoms. As for the space group: R-3m.


# ErPd6Au2

A relaxed ErPd6Au2 crystal (PBE, Alexandria).

Cell: 5.4719 7.7734 7.7734 Å, 101.09 99.19 99.19°
Fractional positions:
Pd1 0.0164 0.7366 0.3532
Pd2 0.5164 0.3532 0.7366
Pd3 0.3041 0.0759 0.4519
Pd4 0.8041 0.4519 0.0759
Pd5 0.3119 0.2544 0.0283
Pd6 0.1959 0.5481 0.9241
Pd7 0.6959 0.9241 0.5481
Pd8 0.4836 0.6468 0.2634
Pd9 0.6881 0.7456 0.9717
Pd10 0.8119 0.0283 0.2544
Pd11 0.1881 0.9717 0.7456
Pd12 0.9836 0.2634 0.6468
Er1 0.2500 0.8992 0.1008
Er2 0.7500 0.1008 0.8992
Au1 0.8646 0.6316 0.6616
Au2 0.3646 0.6616 0.6316
Au3 0.1354 0.3684 0.3384
Au4 0.6354 0.3384 0.3684

The relative energy among the computed polymorphs is 0.00 kcal/mol of atoms. As for the space group: C2/c.


# Er2Pd2Au

A relaxed Er2Pd2Au crystal (PBE, Alexandria).

Cell: 3.7071 7.5104 7.5104 Å, 90.00 90.00 90.00°
Fractional positions:
Er1 0.5000 0.1736 0.6736
Er2 0.5000 0.6736 0.8264
Er3 0.5000 0.8264 0.3264
Er4 0.5000 0.3264 0.1736
Pd1 0.0000 0.3702 0.8702
Pd2 0.0000 0.6298 0.1298
Pd3 0.0000 0.8702 0.6298
Pd4 0.0000 0.1298 0.3702
Au1 0.0000 0.5000 0.5000
Au2 0.0000 0.0000 0.0000

The value obtained for the raw total energy is -54.7 eV per cell. As for the space group: P4/mbm.